Here is Ba2Si3SbAu12 after structural relaxation from Alexandria. Energies are from GGA-PBE.

abc: 8.6400 8.6400 8.6400
angles: 61.27 61.27 61.27
Closest atoms and distances in Å follow each position.
Atoms (fractional coordinates):
Ba (0.1106, 0.1106, 0.1106)  6 Au 3.39-3.47
Ba (0.8894, 0.8894, 0.8894)  6 Au 3.39-3.47
Si (0.0000, 0.5000, 0.5000)  6 Au 2.44
Si (0.5000, 0.0000, 0.5000)  6 Au 2.44
Si (0.5000, 0.5000, 0.0000)  6 Au 2.44
Sb (0.5000, 0.5000, 0.5000)  6 Au 2.74
Au (0.1187, 0.6156, 0.6156)  1 Si 2.44, 1 Sb 2.74
Au (0.1708, 0.1708, 0.6198)  2 Si 2.44
Au (0.1708, 0.6198, 0.1708)  2 Si 2.44
Au (0.3802, 0.8292, 0.8292)  2 Si 2.44
Au (0.3844, 0.3844, 0.8814)  1 Si 2.44, 1 Sb 2.74
Au (0.3844, 0.8814, 0.3844)  1 Si 2.44, 1 Sb 2.74
Au (0.6156, 0.1187, 0.6156)  1 Si 2.44, 1 Sb 2.74
Au (0.6156, 0.6156, 0.1187)  1 Si 2.44, 1 Sb 2.74
Au (0.6198, 0.1708, 0.1708)  2 Si 2.44
Au (0.8292, 0.3802, 0.8292)  2 Si 2.44
Au (0.8292, 0.8292, 0.3802)  2 Si 2.44
Au (0.8813, 0.3844, 0.3844)  1 Si 2.44, 1 Sb 2.74

Results
- Space-group type: R-3m (166)
- Calculated volume: 26.06 Å³/atom
- Total DFT energy (no corrections): -3.622 eV/atom